# 1
The following is a DFT calculation (GGA-PBEsol) of a geometry-optimized BeCoSe2Br structure.

Cell lengths 4.5490, 4.5490, 4.8852 Å; angles 90.00, 90.00, 90.00 degrees
Closest atoms and distances in Å follow each position.
Positions (direct):
Be (0.5000, 0.5000, 0.5000)  4 Br 3.22, 8 Se 3.34
Se (0.5000, 0.0000, 0.0000)  2 Co 2.27
Se (0.0000, 0.5000, 0.0000)  2 Co 2.27
Br (0.0000, 0.0000, 0.5000)  2 Co 2.44
Co (0.0000, 0.0000, 0.0000)  4 Se 2.27, 2 Br 2.44

Values from the calculation:
Its energy relative to the elements, uncorrected is 0.63 eV/atom. The total magnetization is 0.20 μB/atom.



# 2
The following is a DFT calculation (GGA-PBEsol) of a geometry-optimized BeCrBr structure.

Cell lengths 4.2379, 4.2379, 4.2379 Å; angles 60.00, 60.00, 60.00 degrees
Closest atoms and distances in Å follow each position.
Positions (direct):
Cr (0.5000, 0.5000, 0.5000)  4 Be 2.60
Br (0.0000, 0.0000, 0.0000)  4 Be 2.60
Be (0.2500, 0.2500, 0.2500)  4 Cr 2.60, 4 Br 2.60

Values from the calculation:
Its energy relative to the elements, uncorrected is 1.14 eV/atom. The value obtained for the relative energy among the computed polymorphs is 0.5633 eV per atom. The total magnetization is 1.40 μB/atom.



# 3
The following is a DFT calculation (GGA-PBEsol) of a geometry-optimized BeCrBr structure.

Cell lengths 2.9850, 2.9850, 5.8050 Å; angles 90.00, 90.00, 120.00 degrees
Closest atoms and distances in Å follow each position.
Positions (direct):
Be (0.0000, 0.0000, 0.0514)  3 Cr 2.36
Br (0.6667, 0.3333, 0.6193)  3 Cr 2.41
Cr (0.3333, 0.6667, 0.3292)  3 Be 2.36, 3 Br 2.41

Values from the calculation:
Its energy relative to the elements, uncorrected is 0.57 eV/atom. The value obtained for the relative energy among the computed polymorphs is 0.0000 eV per atom. The total magnetization is 0.37 μB/atom.



# 4
The following is a DFT calculation (GGA-PBEsol) of a geometry-optimized BeCr3Br structure.

Cell lengths 4.2435, 4.2435, 4.2435 Å; angles 90.00, 90.00, 90.00 degrees
Closest atoms and distances in Å follow each position.
Positions (direct):
Cr (0.0000, 0.0000, 0.5000)  2 Br 2.12
Be (0.5000, 0.5000, 0.5000)  12 Cr 3.00
Cr (0.5000, 0.0000, 0.0000)  2 Br 2.12
Br (0.0000, 0.0000, 0.0000)  6 Cr 2.12
Cr (0.0000, 0.5000, 0.0000)  2 Br 2.12

Values from the calculation:
Its energy relative to the elements, uncorrected is 1.63 eV/atom. The total magnetization is 0.03 μB/atom.



# 5
The following is a DFT calculation (GGA-PBEsol) of a geometry-optimized Be2CrBr structure.

Cell lengths 3.0761, 4.0698, 4.0698 Å; angles 90.00, 90.00, 90.00 degrees
Closest atoms and distances in Å follow each position.
Positions (direct):
Be (0.0000, 0.5000, 0.0000)  4 Br 2.55, 4 Cr 2.55
Be (0.0000, 0.0000, 0.5000)  4 Br 2.55, 4 Cr 2.55
Cr (0.5000, 0.0000, 0.0000)  8 Be 2.55
Br (0.5000, 0.5000, 0.5000)  8 Be 2.55

Values from the calculation:
Its energy relative to the elements, uncorrected is 0.79 eV/atom. The value obtained for the relative energy among the computed polymorphs is 0.4497 eV per atom. The total magnetization is 0.63 μB/atom.



# 6
The following is a DFT calculation (GGA-PBEsol) of a geometry-optimized Be2CrBr structure.

Cell lengths 3.6503, 3.6514, 5.2581 Å; angles 90.09, 90.00, 119.99 degrees
Closest atoms and distances in Å follow each position.
Positions (direct):
Cr (0.7083, 0.4167, 0.1522)  6 Be 2.36-2.43
Be (0.0414, 0.0828, 0.9519)  3 Be 2.11, 3 Cr 2.36
Br (0.3755, 0.7511, 0.4742)  1 Be 2.35
Be (0.3747, 0.7494, 0.9217)  3 Be 2.11, 1 Br 2.35

Values from the calculation:
Its energy relative to the elements, uncorrected is 0.34 eV/atom. The value obtained for the relative energy among the computed polymorphs is 0.0000 eV per atom. The total magnetization is 0.76 μB/atom.



# 7
The following is a DFT calculation (GGA-PBEsol) of a geometry-optimized Be2CrBr structure.

Cell lengths 5.0362, 5.3900, 5.3900 Å; angles 77.39, 62.15, 62.15 degrees
Closest atoms and distances in Å follow each position.
Positions (direct):
Be (0.6408, 0.4842, 0.9842)  2 Br 2.39, 2 Be 2.53, 2 Cr 2.54
Cr (0.5000, 0.0000, 0.0000)  2 Br 2.52, 4 Be 2.54
Br (0.0000, 0.0000, 0.0000)  4 Be 2.39, 2 Cr 2.52
Cr (0.2500, 0.5000, 0.5000)  2 Br 2.52, 4 Be 2.54
Br (0.7500, 0.5000, 0.5000)  4 Be 2.39, 2 Cr 2.52
Be (0.3750, 0.9842, 0.5158)  2 Br 2.39, 2 Be 2.53, 2 Cr 2.54
Be (0.8750, 0.0158, 0.4842)  2 Br 2.39, 2 Be 2.53, 2 Cr 2.54
Be (0.1092, 0.5158, 0.0158)  2 Br 2.39, 2 Be 2.53, 2 Cr 2.54

Values from the calculation:
Its energy relative to the elements, uncorrected is 0.86 eV/atom. The value obtained for the relative energy among the computed polymorphs is 0.5237 eV per atom. The total magnetization is 0.91 μB/atom.



# 8
The following is a DFT calculation (GGA-PBEsol) of a geometry-optimized BeCrSeBr2 structure.

Cell lengths 4.6166, 4.6166, 4.8450 Å; angles 90.00, 90.00, 90.00 degrees
Closest atoms and distances in Å follow each position.
Positions (direct):
Be (0.0000, 0.0000, 0.0000)  4 Br 2.31, 2 Se 2.42
Br (0.5000, 0.0000, 0.0000)  2 Be 2.31
Se (0.0000, 0.0000, 0.5000)  2 Be 2.42
Br (0.0000, 0.5000, 0.0000)  2 Be 2.31
Cr (0.5000, 0.5000, 0.5000)  4 Se 3.26, 8 Br 3.35

Values from the calculation:
Its energy relative to the elements, uncorrected is 0.18 eV/atom. The total magnetization is 0.80 μB/atom.



# 9
The following is a DFT calculation (GGA-PBEsol) of a geometry-optimized Cs2BeBr structure.

Cell lengths 8.2009, 8.2009, 8.2009 Å; angles 109.66, 109.38, 109.38 degrees
Closest atoms and distances in Å follow each position.
Positions (direct):
Cs (0.5210, 0.6460, 0.6250)  2 Br 3.42, 2 Be 3.69
Be (0.0000, 0.5000, 0.5000)  4 Cs 3.69
Cs (0.9790, 0.8750, 0.3540)  2 Br 3.42, 2 Be 3.69
Cs (0.4790, 0.1040, 0.1250)  2 Br 3.42, 2 Be 3.69
Br (0.5000, 0.7500, 0.2500)  4 Cs 3.42
Br (0.0000, 0.0000, 0.0000)  4 Cs 3.42
Be (0.5000, 0.2500, 0.7500)  4 Cs 3.69
Cs (0.0210, 0.3750, 0.8960)  2 Br 3.42, 2 Be 3.69

Values from the calculation:
Its energy relative to the elements, uncorrected is -0.05 eV/atom. The total magnetization is 0.25 μB/atom.



# 10
The following is a DFT calculation (GGA-PBEsol) of a geometry-optimized CsBeCuBr2 structure.

Cell lengths 4.4488, 5.3746, 5.3746 Å; angles 90.00, 90.00, 90.00 degrees
Closest atoms and distances in Å follow each position.
Positions (direct):
Cs (0.5000, 0.5000, 0.5000)  8 Br 3.49, 4 Be 3.80
Cu (0.0000, 0.0000, 0.0000)  2 Be 2.22
Be (0.5000, 0.0000, 0.0000)  2 Cu 2.22
Br (0.0000, 0.5000, 0.0000)  2 Cu 2.69
Br (0.0000, 0.0000, 0.5000)  2 Cu 2.69

Values from the calculation:
Its energy relative to the elements, uncorrected is -0.26 eV/atom. The total magnetization is 0.00 μB/atom.



# 11
The following is a DFT calculation (GGA-PBEsol) of a geometry-optimized BeCuBr2 structure.

Cell lengths 3.3276, 4.7219, 7.0101 Å; angles 109.68, 103.73, 90.00 degrees
Closest atoms and distances in Å follow each position.
Positions (direct):
Br (0.8935, 0.8935, 0.7869)  2 Be 2.20
Br (0.6688, 0.1688, 0.3375)  2 Cu 2.37
Be (0.2808, 0.7808, 0.5615)  2 Br 2.20, 2 Cu 2.30
Cu (0.6570, 0.6570, 0.3140)  2 Be 2.30, 2 Br 2.37

Values from the calculation:
Its energy relative to the elements, uncorrected is -0.01 eV/atom. The total magnetization is 0.00 μB/atom.



# 12
The following is a DFT calculation (GGA-PBEsol) of a geometry-optimized BeCu2Br structure.

Cell lengths 3.4120, 3.4120, 5.6524 Å; angles 107.57, 107.57, 90.00 degrees
Closest atoms and distances in Å follow each position.
Positions (direct):
Br (0.2500, 0.7500, 0.5000)  4 Cu 2.41
Be (0.5000, 0.5000, 0.0000)  4 Cu 2.41
Cu (0.7500, 0.2500, 0.5000)  4 Br 2.41
Cu (0.0000, 0.0000, 0.0000)  4 Be 2.41

Values from the calculation:
Its energy relative to the elements, uncorrected is 0.58 eV/atom. The value obtained for the relative energy among the computed polymorphs is 0.0142 eV per atom. The total magnetization is 0.00 μB/atom.